No. 1
CaHfMgIn2 | PBE-GGA | relaxed

Properties
For the energy relative to the elements, the calculation gives 3.88 eV/f.u. The calculation puts the density of states at the Fermi level at 3.7 states/eV per cell.

Lattice parameters (Å, degrees): 5.195 5.408 5.195 90.00 90.00 90.00
Site moments in Bohr magnetons follow the coordinates.
Atoms (fractional coordinates):
1 In 0.000 0.000 0.500  -0.01
2 Mg 0.000 0.000 0.000  0.01
3 Ca 0.000 0.500 0.000  0.08
4 In 0.500 0.000 0.000  0.01
5 Hf 0.500 0.500 0.500  0.75

---

No. 2
TaMn4As | PBE-GGA | relaxed

Properties
For the energy relative to the elements, the calculation gives 0.47 eV/f.u. The calculation puts the density of states at the Fermi level at 7.0 states/eV per cell.

Lattice parameters (Å, degrees): 4.799 4.799 4.799 60.00 60.00 60.00
Site moments in Bohr magnetons follow the coordinates.
Atoms (fractional coordinates):
1 Mn 0.374 0.877 0.374  1.29
2 Mn 0.374 0.374 0.374  1.29
3 Mn 0.877 0.374 0.374  1.29
4 As 0.000 0.000 0.000  -0.01
5 Mn 0.374 0.374 0.877  1.29
6 Ta 0.750 0.750 0.750  -0.33

---

No. 3
Pa2TlCo2 | PBE-GGA | relaxed

Properties
For the energy relative to the elements, the calculation gives -1.47 eV/f.u. The calculation puts the density of states at the Fermi level at 6.0 states/eV per cell.

Lattice parameters (Å, degrees): 3.536 3.799 7.766 104.16 90.00 90.00
Atoms (fractional coordinates):
1 Co 0.000 0.187 0.375
2 Pa 0.500 0.649 0.298
3 Pa 0.500 0.351 0.702
4 Co 0.000 0.813 0.625
5 Tl 0.000 0.000 0.000

---

No. 4
AcSmAlAu | PBE-GGA | relaxed

Properties
For the energy relative to the elements, the calculation gives -1.76 eV/f.u. The calculation puts the density of states at the Fermi level at 4.1 states/eV per cell.

Lattice parameters (Å, degrees): 5.428 5.428 5.428 60.00 60.00 60.00
Atoms (fractional coordinates):
1 Au 0.500 0.500 0.500
2 Sm 0.250 0.250 0.250
3 Al 0.000 0.000 0.000
4 Ac 0.750 0.750 0.750

---

No. 5
InPt2Au | PBE-GGA | relaxed

Properties
For the energy relative to the elements, the calculation gives -1.18 eV/f.u. The calculation puts the density of states at the Fermi level at 1.3 states/eV per cell.

Lattice parameters (Å, degrees): 4.928 4.928 4.189 64.86 64.86 50.31
Atoms (fractional coordinates):
1 Pt 0.000 0.000 0.000
2 Pt 0.500 0.500 0.500
3 Au 0.750 0.750 0.750
4 In 0.250 0.250 0.250

---

No. 6
H2PtAu | PBE-GGA | relaxed

Properties
The energy above the most stable polymorph in this dataset is 481.7 meV per atom. The calculation puts the density of states at the Fermi level at 1.1 states/eV per cell.

Lattice parameters (Å, degrees): 3.879 3.879 3.879 60.00 60.00 60.00
Atoms (fractional coordinates):
1 H 0.750 0.750 0.750
2 H 0.250 0.250 0.250
3 Au 0.500 0.500 0.500
4 Pt 0.000 0.000 0.000

---

No. 7
Tb7Er2 | PBE-GGA | relaxed

Properties
The energy above the most stable polymorph in this dataset is 21.1 meV per atom. For the energy relative to the elements, the calculation gives 0.36 eV/f.u. The calculation puts the density of states at the Fermi level at 15.5 states/eV per cell.

Lattice parameters (Å, degrees): 3.509 9.669 9.669 120.00 90.00 90.00
Atoms (fractional coordinates):
1 Tb 0.500 0.000 0.000
2 Tb 0.000 0.000 0.304
3 Er 0.000 0.333 0.667
4 Tb 0.500 0.363 0.363
5 Tb 0.500 0.000 0.637
6 Tb 0.000 0.304 0.000
7 Tb 0.000 0.696 0.696
8 Er 0.000 0.667 0.333
9 Tb 0.500 0.637 0.000

---

No. 8
PaAg3Pd12 | PBE-GGA | relaxed

Properties
For the energy relative to the elements, the calculation gives -3.99 eV/f.u. The calculation puts the density of states at the Fermi level at 14.7 states/eV per cell.

Lattice parameters (Å, degrees): 4.075 4.075 15.862 90.00 90.00 90.00
Atoms (fractional coordinates):
1 Pd 0.000 0.500 0.378
2 Pd 0.500 0.000 0.378
3 Ag 0.000 0.000 0.255
4 Pd 0.500 0.500 0.746
5 Pd 0.500 0.000 0.622
6 Pd 0.500 0.500 0.254
7 Pd 0.500 0.000 0.874
8 Pd 0.000 0.500 0.622
9 Ag 0.000 0.000 0.500
10 Pd 0.500 0.000 0.126
11 Pa 0.000 0.000 0.000
12 Pd 0.000 0.500 0.126
13 Pd 0.500 0.500 0.000
14 Ag 0.000 0.000 0.745
15 Pd 0.500 0.500 0.500
16 Pd 0.000 0.500 0.874

---

No. 9
Pm4Al2CdGa | PBE-GGA | relaxed

Properties
For the energy relative to the elements, the calculation gives -3.23 eV/f.u. The calculation puts the density of states at the Fermi level at 6.1 states/eV per cell.

Lattice parameters (Å, degrees): 5.284 5.284 9.122 73.16 73.16 60.00
Atoms (fractional coordinates):
1 Pm 0.129 0.129 0.614
2 Al 0.746 0.746 0.762
3 Pm 0.379 0.379 0.863
4 Pm 0.871 0.871 0.386
5 Cd 0.000 0.000 0.000
6 Al 0.254 0.254 0.238
7 Pm 0.621 0.621 0.137
8 Ga 0.500 0.500 0.500

---

No. 10
Sr2Cl | PBE-GGA | relaxed

Properties
The energy above the most stable polymorph in this dataset is 28.1 meV per atom. The value obtained for the formation energy (no corrections) is -1.070 eV/atom. The calculation puts the density of states at the Fermi level at 6.1 states/eV per cell.

Lattice parameters (Å, degrees): 7.612 7.612 11.167 50.88 50.88 31.25
Atoms (fractional coordinates):
1 Sr 0.557 0.557 0.194
2 Cl 0.191 0.191 0.915
3 Sr 0.190 0.190 0.386
4 Sr 0.810 0.810 0.614
5 Cl 0.809 0.809 0.085
6 Sr 0.443 0.443 0.806

---

Sequential ρ output: 5.4; 10.1; 12.9; 8.8; 16.9; 15.9; 8.5; 11.5; 6.5; 2.8 g/cm³